# YFePS2 (PBE, optimized geometry)
# E_form (uncorrected) (kJ per mole of atoms): -49.6
# Polymorph energy (0 for the lowest one) (eV/f.u.): 0.000
# VASP energy (eV per atom): -6.233
data_YFePS2
_chemical_formula_sum 'Y1 Fe1 P1 S2'
_symmetry_space_group_name_H-M 'P 4/m m m'
_symmetry_Int_Tables_number 123
_symmetry_space_group_name_Hall '-P 4 2'
_cell_length_a 4.710
_cell_length_b 4.710
_cell_length_c 4.110
_cell_angle_alpha 90.00
_cell_angle_beta 90.00
_cell_angle_gamma 90.00
loop_
_atom_site_label
_atom_site_type_symbol
_atom_site_fract_x
_atom_site_fract_y
_atom_site_fract_z
Y1 Y 0.000 0.000 0.000
Fe1 Fe 0.500 0.500 0.500
P1 P 0.500 0.500 0.000
S1 S 0.000 0.500 0.500